1.
Material: PrHoPtAu
Method: DFT, PBE
State: optimized geometry

The structure belongs to space group F-43m (No. 216); the cell edges are 7.230, 7.230 and 7.230 Å and the angles 90.00°, 90.00° and 90.00°. The distinct sites, in fractional coordinates, are Pr at (0.000, 0.000, 0.000), Ho at (0.000, 0.000, 0.500), Pt at (0.250, 0.250, 0.750) and Au at (0.250, 0.250, 0.250).

For the relative energy among the computed polymorphs, the calculation gives 0.058 eV per atom. Its formation energy from the elements is -0.946 eV per atom. Its total energy is -89.831 eV per cell. For the density of states at the Fermi level, the calculation gives 0.680 states/eV/atom. The calculation puts the density at 12.3 g/cm³.

***

2.
Material: PrHoRhAu
Method: DFT, PBE
State: optimized geometry

The structure belongs to space group Amm2 (No. 38); the cell edges are 4.657, 3.863 and 10.584 Å and the angles 90.00°, 90.00° and 90.00°. The distinct sites, in fractional coordinates, are Pr at (0.000, 0.000, 0.000), Ho at (0.500, 0.000, 0.719), Rh at (0.000, 0.000, 0.263) and Au at (0.500, 0.000, 0.434).

For the relative energy among the computed polymorphs, the calculation gives 0.000 eV per atom. Its formation energy from the elements is -0.786 eV per atom. Its total energy is -46.263 eV per cell. For the density of states at the Fermi level, the calculation gives 0.671 states/eV/atom. The calculation puts the density at 10.6 g/cm³.

***

3.
Material: PrHoRhAu
Method: DFT, PBE
State: optimized geometry

The structure belongs to space group F-43m (No. 216); the cell edges are 7.168, 7.168 and 7.168 Å and the angles 90.00°, 90.00° and 90.00°. The distinct sites, in fractional coordinates, are Pr at (0.000, 0.000, 0.000), Ho at (0.000, 0.000, 0.500), Rh at (0.250, 0.250, 0.750) and Au at (0.250, 0.250, 0.250).

For the relative energy among the computed polymorphs, the calculation gives 0.055 eV per atom. Its formation energy from the elements is -0.731 eV per atom. Its total energy is -91.638 eV per cell. For the density of states at the Fermi level, the calculation gives 1.016 states/eV/atom. The calculation puts the density at 10.9 g/cm³.

***

4.
Material: PrHoRuAu
Method: DFT, PBE
State: optimized geometry

The structure belongs to space group F-43m (No. 216); the cell edges are 7.136, 7.136 and 7.136 Å and the angles 90.00°, 90.00° and 90.00°. The distinct sites, in fractional coordinates, are Pr at (0.000, 0.000, 0.000), Ho at (0.000, 0.000, 0.500), Ru at (0.250, 0.250, 0.750) and Au at (0.250, 0.250, 0.250).

Its formation energy from the elements is -0.467 eV per atom. Its total energy is -95.120 eV per cell. For the density of states at the Fermi level, the calculation gives 0.811 states/eV/atom. The calculation puts the density at 11.0 g/cm³.

***

5.
Material: PrHoSiAu
Method: DFT, PBE
State: optimized geometry

The structure belongs to space group F-43m (No. 216); the cell edges are 7.278, 7.278 and 7.278 Å and the angles 90.00°, 90.00° and 90.00°. The distinct sites, in fractional coordinates, are Pr at (0.000, 0.000, 0.000), Ho at (0.000, 0.000, 0.500), Si at (0.250, 0.250, 0.250) and Au at (0.250, 0.250, 0.750).

The uncorrected formation energy is -0.61 eV/atom. Its total energy is -82.062 eV per cell. For the density of states at the Fermi level, the calculation gives 0.963 states/eV/atom. The calculation puts the density at 9.1 g/cm³.

***

6.
Material: PrHoSnAu
Method: DFT, PBE
State: optimized geometry

The structure belongs to space group F-43m (No. 216); the cell edges are 7.518, 7.518 and 7.518 Å and the angles 90.00°, 90.00° and 90.00°. The distinct sites, in fractional coordinates, are Pr at (0.000, 0.000, 0.000), Ho at (0.000, 0.000, 0.500), Sn at (0.250, 0.250, 0.750) and Au at (0.250, 0.250, 0.250).

Its formation energy from the elements is -0.696 eV per atom. Its total energy is -77.678 eV per cell. For the density of states at the Fermi level, the calculation gives 0.896 states/eV/atom. The calculation puts the density at 9.7 g/cm³.

***

7.
Material: Pr2HoTe5Au
Method: DFT, PBE
State: optimized geometry

The structure belongs to space group Cmc2_1 (No. 36); the cell edges are 4.371, 19.154 and 13.260 Å and the angles 90.00°, 90.00° and 90.00°. The distinct sites, in fractional coordinates, are Pr at (0.000, 0.113, 0.000), Pr at (0.000, 0.125, 0.619), Ho at (0.000, 0.189, 0.321), Te at (0.000, 0.040, 0.387), Te at (0.000, 0.288, 0.981), Te at (0.000, 0.305, 0.652), Te at (0.000, 0.353, 0.312), Te at (0.000, 0.500, 0.092) and Au at (0.000, 0.426, 0.772).

The uncorrected formation energy is -1.20 eV/atom. Its total energy is -175.781 eV per cell. For the density of states at the Fermi level, the calculation gives 0.022 states/eV/atom. The calculation puts the density at 7.7 g/cm³.

***

8.
Material: PrHoTlAu
Method: DFT, PBE
State: optimized geometry

The structure belongs to space group P4mm (No. 99); the cell edges are 3.675, 3.675 and 7.897 Å and the angles 90.00°, 90.00° and 90.00°. The distinct sites, in fractional coordinates, are Pr at (0.000, 0.000, 0.000), Ho at (0.000, 0.000, 0.460), Tl at (0.500, 0.500, 0.722) and Au at (0.500, 0.500, 0.266).

For the relative energy among the computed polymorphs, the calculation gives 0.000 eV per atom. Its formation energy from the elements is -0.600 eV per atom. Its total energy is -17.402 eV per cell. For the density of states at the Fermi level, the calculation gives 0.602 states/eV/atom. The calculation puts the density at 11.0 g/cm³.